# GGA-PBE Np2TeSe, relaxed
# E_form (uncorrected), eV per formula unit: -2.90
# Energy above the lowest structure with this stoichiometry, meV/atom: 77
data_Np2TeSe
_space_group_name_H-M_alt 'P m m n'
_space_group_IT_number 59
_cell_length_a 4.2955
_cell_length_b 7.0110
_cell_length_c 7.4924
_cell_angle_alpha 90.00
_cell_angle_beta 90.00
_cell_angle_gamma 90.00
loop_
_space_group_symop_operation_xyz
'x,y,z'
'-x,-y,-z'
'-x+1/2,-y+1/2,z'
'x+1/2,y+1/2,-z'
'x+1/2,-y,-z'
'-x+1/2,y,z'
'-x,y+1/2,-z'
'x,-y+1/2,z'
loop_
_atom_site_label
_atom_site_type_symbol
_atom_site_fract_x
_atom_site_fract_y
_atom_site_fract_z
Np1 Np 0.2500 0.0028 0.2276
Te1 Te 0.2500 0.2500 0.5792
Se1 Se 0.2500 0.7500 0.9131

# GGA-PBE NpNbPb2O8, relaxed
# E_form (uncorrected), eV per formula unit: -24.13
data_NpNbPb2O8
_space_group_name_H-M_alt 'P 1 2/m 1'
_space_group_IT_number 10
_cell_length_a 5.3841
_cell_length_b 6.7326
_cell_length_c 5.3993
_cell_angle_alpha 90.00
_cell_angle_beta 91.52
_cell_angle_gamma 90.00
loop_
_space_group_symop_operation_xyz
'x,y,z'
'-x,-y,-z'
'-x,y,-z'
'x,-y,z'
loop_
_atom_site_label
_atom_site_type_symbol
_atom_site_fract_x
_atom_site_fract_y
_atom_site_fract_z
Np1 Np 0.0000 0.0000 0.0000
Nb1 Nb 0.0000 0.5000 0.0000
Pb1 Pb 0.5000 0.2617 0.5000
O1 O 0.1674 0.2566 0.8355
O2 O 0.2469 0.0000 0.2501
O3 O 0.2620 0.5000 0.2643